Al2PSe: optimized geometry, GGA-PBEsol.

Values from the calculation:
- Spin magnetization: 0.0 μB/f.u.
- Energy relative to the elements, uncorrected: -25.2 meV per atom
- SG: P4/mmm

a b c (Å): 3.178 3.178 6.447
angles (deg): 90.00 90.00 90.00
Positions (direct):
Al 0.000 0.000 0.227
Al 0.000 0.000 0.773
P 0.500 0.500 0.000
Se 0.500 0.500 0.500

=====

YSc3Ge: optimized geometry, GGA-PBEsol.

Values from the calculation:
- Spin magnetization: 0.0 μB/f.u.
- ΔH_f (0 K): 1.03 eV/atom
- SG: Pm-3m

a b c (Å): 5.027 5.027 5.027
angles (deg): 90.00 90.00 90.00
Positions (direct):
Y 0.000 0.000 0.000
Sc 0.000 0.000 0.500
Sc 0.000 0.500 0.000
Sc 0.500 0.000 0.000
Ge 0.500 0.500 0.500

=====

Er3Fe4Ge4: optimized geometry, GGA-PBEsol.

Values from the calculation:
- Spin magnetization: 1.2 μB/f.u.
- ΔH_f (0 K): -0.49 eV/atom
- SG: Immm

a b c (Å): 12.874 12.874 12.874
angles (deg): 164.38 161.79 24.08
Positions (direct):
Er 0.000 0.000 0.000
Er 0.356 0.856 0.500
Er 0.644 0.144 0.500
Fe 0.095 0.595 0.500
Fe 0.253 0.253 0.000
Fe 0.747 0.747 0.000
Fe 0.905 0.405 0.500
Ge 0.189 0.689 0.500
Ge 0.448 0.448 0.000
Ge 0.552 0.552 0.000
Ge 0.811 0.311 0.500

=====

InPH4O6: optimized geometry, GGA-PBEsol.

Values from the calculation:
- Spin magnetization: 0.0 μB/f.u.
- DFT total energy: -6.026 eV/atom
- SG: P2_1/c

a b c (Å): 5.369 10.404 10.021
angles (deg): 90.00 118.96 90.00
Positions (direct):
In 0.121 0.172 0.213
In 0.121 0.328 0.713
In 0.879 0.672 0.287
In 0.879 0.828 0.787
P 0.272 0.641 0.676
P 0.272 0.859 0.176
P 0.728 0.141 0.824
P 0.728 0.359 0.324
H 0.083 0.040 0.744
H 0.083 0.460 0.244
H 0.367 0.546 0.292
H 0.367 0.954 0.792
H 0.382 0.159 0.534
H 0.382 0.341 0.034
H 0.398 0.691 0.028
H 0.398 0.809 0.528
H 0.602 0.191 0.472
H 0.602 0.309 0.972
H 0.618 0.659 0.966
H 0.618 0.841 0.466
H 0.633 0.046 0.208
H 0.633 0.454 0.708
H 0.917 0.540 0.756
H 0.917 0.960 0.256
O 0.060 0.662 0.737
O 0.060 0.838 0.237
O 0.153 0.550 0.242
O 0.153 0.950 0.742
O 0.167 0.710 0.520
O 0.167 0.790 0.020
O 0.302 0.006 0.159
O 0.302 0.494 0.659
O 0.424 0.141 0.448
O 0.424 0.359 0.948
O 0.435 0.199 0.709
O 0.435 0.301 0.209
O 0.565 0.699 0.791
O 0.565 0.801 0.291
O 0.576 0.641 0.052
O 0.576 0.859 0.552
O 0.698 0.506 0.341
O 0.698 0.994 0.841
O 0.833 0.210 0.980
O 0.833 0.290 0.480
O 0.847 0.050 0.258
O 0.847 0.450 0.758
O 0.940 0.162 0.763
O 0.940 0.338 0.263

=====

- Which value of spin magnetization does entry 4 give?
  0.0 μB/f.u.